A plane-wave DFT calculation with GGA+U was carried out for crystalline NaCr3F at its relaxed geometry.

```
data_NaCr3F
_cell_length_a 5.315
_cell_length_b 5.315
_cell_length_c 5.315
_cell_angle_alpha 90.00
_cell_angle_beta 90.00
_cell_angle_gamma 90.00
_symmetry_space_group_name_H-M 'P m -3 m'
_symmetry_Int_Tables_number 221
_symmetry_space_group_name_Hall '-P 4 2 3'
loop_
_atom_site_label
_atom_site_type_symbol
_atom_site_fract_x
_atom_site_fract_y
_atom_site_fract_z
Na1 Na 0.000 0.000 0.000
Cr1 Cr 0.000 0.000 0.500
F1 F 0.500 0.500 0.500
```

Results
The calculation puts the energy at -0.1527 Ha/atom. Its total magnetization is 15.9 μB/cell.